Arrangement a

8
Lattice="-0.2116 -0.0608 -3.4788 -1.5115 -3.1375 0.1468 -9.2559 4.4817 0.4846" Properties=species:S:1:pos:R:3 comment="TaGaAsO | OQMD | PBE-GGA | optimized geometry" mass_density_g_cm3=9.069 pbc="T T T"
As -3.0956 -0.4358 0.1959
As -7.0219 3.3184 -1.3773
Ga -4.6280 2.2409 0.2423
Ga -5.4895 0.6417 -1.4237
O 0.0000 0.0000 0.0000
O -0.8616 -1.5992 -1.6660
Ta -1.2646 0.5307 -1.6787
Ta -8.8529 2.3518 0.4974



Arrangement b

8
Lattice="-2.0846 3.3458 -0.4689 -2.9329 -1.5187 2.2025 3.4300 3.0742 6.6872" Properties=species:S:1:pos:R:3 comment="TaGaAsO | OQMD | PBE-GGA | optimized geometry" mass_density_g_cm3=8.865 pbc="T T T"
As -0.4827 0.1224 3.0192
As 1.4040 3.8654 4.5348
Ga -0.7414 1.9426 0.3522
Ga 1.6627 2.0452 7.2018
O 0.0000 0.0000 0.0000
O -2.5087 0.9135 0.8668
Ta 1.7150 1.5371 3.3436
Ta -0.7937 2.4506 4.2104



Arrangement c

8
Lattice="-3.0487 0.3509 -1.3328 -0.7127 -7.7978 -0.4229 -2.3370 -0.0752 5.3259" Properties=species:S:1:pos:R:3 comment="TaGaAsO | OQMD | PBE-GGA | optimized geometry" mass_density_g_cm3=7.434 pbc="T T T"
As -0.9737 -1.5439 1.8209
As -2.5776 -6.3452 4.2255
Ga -1.4349 -4.9152 1.9882
Ga -2.4235 -2.9838 4.7580
O -2.9581 -6.1963 0.9357
O -3.6796 -1.3432 3.8639
Ta -2.4860 -7.5874 -0.5106
Ta -2.9496 0.0866 2.5705



Arrangement d

8
Lattice="3.8662 0.0000 0.0000 0.0000 7.7660 0.0000 0.0000 0.0000 5.0065" Properties=species:S:1:pos:R:3 comment="TaGaAsO | OQMD | PBE-GGA | optimized geometry" mass_density_g_cm3=7.547 pbc="T T T"
As 0.0000 6.0185 2.1041
As 0.0000 1.7475 4.6074
Ga 1.9331 4.3573 2.4383
Ga 1.9331 3.4088 4.9415
O 1.9331 1.0660 2.1278
O 1.9331 6.7001 4.6310
Ta 0.0000 0.8781 2.1112
Ta 0.0000 6.8879 4.6145



Which is most stable, and by how much? arrangement d, by 0.058 eV/atom.



Arrangement a

8
Lattice="-3.0321 -0.5042 1.5525 0.6738 -3.3697 0.2214 4.2696 1.4322 8.8037" Properties=species:S:1:pos:R:3 comment="GaTcAsO | OQMD | PBE-GGA | optimized geometry" mass_density_g_cm3=7.325 pbc="T T T"
As -0.6795 -2.5401 3.5764
As 2.5908 0.0983 7.0013
Ga 0.0292 -0.5045 5.6216
Ga 1.8821 -1.9373 4.9561
O -2.1056 -1.2206 1.2198
O -0.2527 -2.6534 0.5542
Tc -0.0596 -0.7907 1.5362
Tc 1.9709 -1.6511 9.0415



Arrangement b

8
Lattice="3.8629 0.0000 0.0000 0.0000 3.8629 0.0000 0.0000 0.0000 8.5081" Properties=species:S:1:pos:R:3 comment="GaTcAsO | OQMD | PBE-GGA | optimized geometry" mass_density_g_cm3=6.766 pbc="T T T"
As 0.0000 1.9314 2.3779
As 1.9314 0.0000 6.1302
Ga 0.0000 0.0000 4.2541
Ga 1.9314 1.9314 4.2541
O 0.0000 0.0000 0.0000
O 1.9314 1.9314 0.0000
Tc 1.9314 0.0000 0.8849
Tc 0.0000 1.9314 7.6232



Arrangement c

8
Lattice="3.1504 0.0000 0.0000 0.0000 6.5177 0.0000 0.0000 0.0000 5.9088" Properties=species:S:1:pos:R:3 comment="GaTcAsO | OQMD | PBE-GGA | optimized geometry" mass_density_g_cm3=7.080 pbc="T T T"
As 0.0000 1.3774 2.1186
As 0.0000 5.1404 5.0730
Ga 0.0000 3.9431 2.6940
Ga 0.0000 2.5747 5.6484
O 1.5752 4.9452 2.0541
O 1.5752 1.5725 5.0086
Tc 1.5752 6.4500 0.5430
Tc 1.5752 0.0677 3.4974



Arrangement d

8
Lattice="4.2318 0.0000 0.0000 0.0000 4.9031 0.0000 0.0000 0.0000 5.7317" Properties=species:S:1:pos:R:3 comment="GaTcAsO | OQMD | PBE-GGA | optimized geometry" mass_density_g_cm3=7.223 pbc="T T T"
As 0.0000 1.8277 1.8261
As 0.0000 3.0754 4.6919
Ga 2.1159 3.8388 0.4288
Ga 2.1159 1.0643 3.2946
O 2.1159 4.1387 2.3663
O 2.1159 0.7644 5.2322
Tc 0.0000 4.3035 2.5664
Tc 0.0000 0.5996 5.4322



Which is most stable, and by how much? arrangement c, by 0.170 eV/atom.



Arrangement a

8
Lattice="3.8414 0.0000 0.0000 0.0000 6.1681 0.0000 0.0000 0.0000 5.8053" Properties=species:S:1:pos:R:3 comment="ZnGaAsO | OQMD | PBE-GGA | optimized geometry" mass_density_g_cm3=5.458 pbc="T T T"
As 0.0000 5.0286 2.2125
As 0.0000 1.1395 5.1151
Ga 1.9207 2.2430 0.2079
Ga 1.9207 3.9251 3.1106
O 1.9207 2.1946 2.1708
O 1.9207 3.9735 5.0735
Zn 0.0000 1.2690 2.6886
Zn 0.0000 4.8992 5.5912



Arrangement b

8
Lattice="0.0898 2.8502 -2.3875 3.3728 -1.0674 -1.1474 -3.7545 -5.1295 -6.2647" Properties=species:S:1:pos:R:3 comment="ZnGaAsO | OQMD | PBE-GGA | optimized geometry" mass_density_g_cm3=6.081 pbc="T T T"
As 1.4531 -0.2256 -4.5598
As -1.7450 -3.1210 -5.2398
Ga 0.4902 -0.0672 -1.5102
Ga -0.7821 -3.2794 -8.2894
O 0.9105 1.8708 -2.0775
O 2.5521 -0.0880 -1.4574
Zn -0.9667 -0.6940 -5.2098
Zn 0.6748 -2.6527 -4.5898



Which is most stable, and by how much? arrangement a, by 0.265 eV/atom.



Arrangement a

8
Lattice="-0.9783 -3.3769 -1.9651 3.8945 -0.6804 -0.7697 0.7136 -4.7533 7.8127" Properties=species:S:1:pos:R:3 comment="ZnGaAsO | OQMD | PBE-GGA | optimized geometry" mass_density_g_cm3=5.045 pbc="T T T"
As 2.4217 -4.6058 0.5176
As 1.2080 -4.2048 4.5603
Ga 0.5966 -5.0794 2.2401
Ga 3.0331 -3.7312 2.8378
O 0.2399 -2.7028 -1.6663
O 2.6763 -1.3545 -1.0685
Zn 2.2116 -3.2065 -1.7823
Zn 1.4181 -5.6041 6.8602



Arrangement b

8
Lattice="-1.0222 -2.3493 2.6000 -3.4132 -3.0958 -4.1392 4.7230 -3.4826 -1.2899" Properties=species:S:1:pos:R:3 comment="ZnGaAsO | OQMD | PBE-GGA | optimized geometry" mass_density_g_cm3=5.526 pbc="T T T"
As 0.6453 -2.2594 -1.7878
As 1.7629 -5.1289 -3.9413
Ga -0.2085 -3.7749 -3.4929
Ga 3.5181 -4.2781 -2.4825
O -1.5582 -5.0969 -2.6557
O 3.0997 -4.7554 -0.5159
Zn -3.2655 -4.0090 -2.3439
Zn 1.6003 -3.4789 0.0480



Which is most stable, and by how much? arrangement b, by 0.121 eV/atom.



Arrangement a

10
Lattice="-2.2358 3.4012 -1.5094 -3.4779 -1.2839 2.2586 3.1558 5.6588 8.0765" Properties=species:S:1:pos:R:3 comment="PrGaAsPd2 | OQMD | PBE-GGA | optimized geometry" mass_density_g_cm3=8.482 pbc="T T T"
As -0.5975 1.4048 4.0505
As 0.8965 5.3127 4.4005
Ga 0.0000 0.0000 0.0000
Ga -2.8569 1.0586 0.3746
Pd -1.3414 0.0710 2.1468
Pd 1.5779 2.8294 4.0382
Pd -1.2790 3.8881 4.4128
Pd 1.6403 6.6465 6.3042
Pr -0.2985 3.1699 1.3423
Pr 0.5975 3.5476 7.1088



Arrangement b

10
Lattice="-0.6079 -4.1622 -1.7565 2.8164 -1.7349 3.1363 -7.4489 -1.4066 5.9109" Properties=species:S:1:pos:R:3 comment="PrGaAsPd2 | OQMD | PBE-GGA | optimized geometry" mass_density_g_cm3=8.287 pbc="T T T"
As 0.0000 0.0000 0.0000
As 1.1043 -2.9486 0.6899
Ga -3.1401 -2.6167 1.3723
Ga -3.2045 -1.7385 5.2285
Pd -1.2037 -2.2510 -0.1643
Pd -3.7244 -0.7033 2.9555
Pd -2.6202 -3.6519 3.6454
Pd -5.1410 -2.1042 6.7651
Pr -0.3972 -1.2084 3.0008
Pr -5.9474 -3.1468 3.6000



Which is most stable, and by how much? arrangement a, by 0.085 eV/atom.



Arrangement a

3
Lattice="2.9414 0.0152 3.9718 -1.9187 -0.7120 4.4988 0.8934 -4.2102 2.4296" Properties=species:S:1:pos:R:3 comment="PrGaAs | OQMD | PBE-GGA | optimized geometry" mass_density_g_cm3=5.554 pbc="T T T"
As 0.4790 -1.2267 2.7250
Ga 1.4371 -3.6802 8.1751
Pr 0.0000 0.0000 0.0000



Arrangement b

3
Lattice="2.7107 -1.2156 3.7916 -1.9736 -2.3354 3.7219 1.0933 -4.6231 0.7957" Properties=species:S:1:pos:R:3 comment="PrGaAs | OQMD | PBE-GGA | optimized geometry" mass_density_g_cm3=6.000 pbc="T T T"
As 0.4576 -2.0436 2.0773
Ga 0.0000 0.0000 0.0000
Pr 1.3728 -6.1307 6.2319



Which is most stable, and by how much? arrangement b, by 0.043 eV/atom.



Arrangement a

3
Lattice="0.0000 2.9932 2.9932 2.9932 0.0000 2.9932 2.9932 2.9932 0.0000" Properties=species:S:1:pos:R:3 comment="GaTcAs | OQMD | PBE-GGA | optimized geometry" mass_density_g_cm3=7.512 pbc="T T T"
As 0.0000 0.0000 0.0000
Ga 2.9932 2.9932 2.9932
Tc 1.4966 1.4966 1.4966



Arrangement b

3
Lattice="0.0000 2.9792 2.9792 2.9792 0.0000 2.9792 2.9792 2.9792 0.0000" Properties=species:S:1:pos:R:3 comment="GaTcAs | OQMD | PBE-GGA | optimized geometry" mass_density_g_cm3=7.619 pbc="T T T"
As 0.0000 0.0000 0.0000
Ga 1.4896 1.4896 1.4896
Tc 4.4688 4.4688 4.4688



Which is most stable, and by how much? arrangement a, by 0.265 eV/atom.



Arrangement a

3
Lattice="2.2466 -4.1441 0.6328 -2.4000 -4.0885 -0.3808 0.7745 -2.8757 -3.7083" Properties=species:S:1:pos:R:3 comment="ThGaAs | OQMD | PBE-GGA | optimized geometry" mass_density_g_cm3=8.222 pbc="T T T"
As 0.1553 -2.7771 -0.8641
Ga 0.0000 0.0000 0.0000
Th 0.4658 -8.3313 -2.5922



Arrangement b

3
Lattice="-1.5802 0.4404 4.6175 -4.7424 0.8477 0.8964 -2.7847 -3.5113 1.9821" Properties=species:S:1:pos:R:3 comment="ThGaAs | OQMD | PBE-GGA | optimized geometry" mass_density_g_cm3=7.518 pbc="T T T"
As -4.5536 -1.1116 3.7480
Ga 0.0000 0.0000 0.0000
Th -2.2768 -0.5558 1.8740



Which is most stable, and by how much? arrangement b, by 0.073 eV/atom.



Arrangement a

3
Lattice="0.8735 -4.1813 -2.0398 -3.3448 -3.3490 -0.0597 -2.1347 -1.1408 -4.0680" Properties=species:S:1:pos:R:3 comment="TmGaAs | OQMD | PBE-GGA | optimized geometry" mass_density_g_cm3=6.943 pbc="T T T"
As -1.1515 -2.1678 -1.5419
Ga -3.4546 -6.5034 -4.6257
Tm 0.0000 0.0000 0.0000



Arrangement b

3
Lattice="0.6240 -4.3255 1.6665 -2.8481 -1.6616 3.3171 -3.0754 -3.3697 -1.0311" Properties=species:S:1:pos:R:3 comment="TmGaAs | OQMD | PBE-GGA | optimized geometry" mass_density_g_cm3=7.197 pbc="T T T"
As -1.3249 -2.3392 0.9881
Ga 0.0000 0.0000 0.0000
Tm -3.9747 -7.0176 2.9643



Which is most stable, and by how much? arrangement a, by 0.088 eV/atom.



Arrangement a

8
Lattice="5.7396 0.0000 0.0000 0.0000 5.7396 0.0000 0.0000 0.0000 4.8951" Properties=species:S:1:pos:R:3 comment="GdGeAsO | OQMD | PBE-GGA | optimized geometry" mass_density_g_cm3=6.607 pbc="T T T"
As 4.3047 4.3047 2.3984
As 1.4349 1.4349 2.4967
Gd 4.3047 1.4349 2.4475
Gd 1.4349 4.3047 2.4475
Ge 1.4349 1.4349 0.0452
Ge 4.3047 4.3047 4.8499
O 4.3047 1.4349 0.0000
O 1.4349 4.3047 0.0000



Arrangement b

8
Lattice="-1.3022 0.6003 3.5886 -2.1655 -5.8129 0.1866 6.1475 -2.2067 2.5998" Properties=species:S:1:pos:R:3 comment="GdGeAsO | OQMD | PBE-GGA | optimized geometry" mass_density_g_cm3=6.319 pbc="T T T"
As 1.8392 -2.4442 1.0762
As 3.9198 -6.2133 2.4618
Gd 1.2742 -5.3520 1.3577
Gd 5.3992 -3.6337 2.5670
Ge -2.0926 -5.0441 2.1653
Ge 2.6679 -1.6198 3.3198
O -0.3272 -4.6627 2.7420
O 3.7662 -3.0290 3.9541



Which is most stable, and by how much? arrangement b, by 0.392 eV/atom.



Arrangement a

8
Lattice="-0.8014 0.4620 -4.1440 0.9549 -5.6245 -0.8118 -5.9738 -1.1623 1.0257" Properties=species:S:1:pos:R:3 comment="GdGeAsO | OQMD | PBE-GGA | optimized geometry" mass_density_g_cm3=7.056 pbc="T T T"
As -1.3107 -2.7014 -0.0477
As -4.1468 -4.1708 0.3370
Gd -0.2291 -4.0290 -2.5802
Gd -3.6723 -1.9224 -1.6794
Ge -1.9451 -5.4210 -0.2282
Ge -5.6346 -1.8641 0.8819
O -1.9952 -5.4092 -2.3925
O -5.7791 -1.2957 -1.2021



Arrangement b

8
Lattice="4.0829 0.0000 0.0000 0.0000 4.0829 0.0000 0.0000 0.0000 9.3340" Properties=species:S:1:pos:R:3 comment="GdGeAsO | OQMD | PBE-GGA | optimized geometry" mass_density_g_cm3=6.847 pbc="T T T"
As 3.0622 3.0622 2.7857
As 1.0207 1.0207 6.5483
Gd 1.0207 1.0207 1.0556
Gd 3.0622 3.0622 8.2784
Ge 3.0622 1.0207 4.6670
Ge 1.0207 3.0622 4.6670
O 3.0622 1.0207 0.0000
O 1.0207 3.0622 0.0000



Which is most stable, and by how much? arrangement b, by 0.171 eV/atom.